# LaBe3B

LaBe3B after structural relaxation (GGA-PBE, Alexandria).

Unit cell a=5.250 b=5.250 c=5.250 alpha=90.00 beta=90.00 gamma=90.00
Fractional coordinates of all 5 atoms:
1 Be 0.000 0.500 0.000
2 Be 0.000 0.000 0.500
3 Be 0.500 0.000 0.000
4 B 0.500 0.500 0.500
5 La 0.000 0.000 0.000

Results
**Space-group type**: Pm-3m, No. 221

# LaBeB3

LaBeB3 after structural relaxation (GGA-PBE, Alexandria).

Unit cell a=3.975 b=3.975 c=3.975 alpha=90.00 beta=90.00 gamma=90.00
Fractional coordinates of all 5 atoms:
1 Be 0.000 0.000 0.000
2 B 0.000 0.500 0.000
3 B 0.000 0.000 0.500
4 B 0.500 0.000 0.000
5 La 0.500 0.500 0.500

Results
**Space-group type**: Pm-3m, No. 221

# LaBeB

LaBeB after structural relaxation (GGA-PBE, Alexandria).

Unit cell a=6.613 b=5.831 c=5.585 alpha=90.00 beta=90.00 gamma=90.00
Fractional coordinates of all 12 atoms:
1 Be 0.842 0.250 0.000
2 Be 0.658 0.750 0.500
3 Be 0.158 0.750 0.000
4 Be 0.342 0.250 0.500
5 B 0.000 0.000 0.000
6 B 0.500 0.500 0.500
7 B 0.500 0.000 0.500
8 B 0.000 0.500 0.000
9 La 0.345 0.250 0.000
10 La 0.155 0.750 0.500
11 La 0.655 0.750 0.000
12 La 0.845 0.250 0.500

Results
**Space-group type**: Cmcm, No. 63

# LaBeB

LaBeB after structural relaxation (GGA-PBE, Alexandria).

Unit cell a=3.333 b=3.333 c=5.516 alpha=100.57 beta=100.57 gamma=113.13
Fractional coordinates of all 3 atoms:
1 Be 0.063 0.063 0.125
2 La 0.328 0.328 0.656
3 B 0.609 0.609 0.218

Results
**Space-group type**: Fmm2, No. 42

Summary of DFT formation energy in eV per atom
2.87, 0.77, 0.17, 0.57
(order as listed above)
Summary of distance to the lowest polymorph of the same formula in kJ/mol of atoms
243.8, 0.0, 36.5, 75.1
(order as listed above)
Summary of electronic total energy in Ha/atom
-0.0621, -0.1824, -0.1816, -0.1669
(order as listed above)